(1)
MnCu2TcH: relaxed, PBE.

a = 3.642 Å, b = 3.642 Å, c = 4.000 Å
α = 90.00°, β = 90.00°, γ = 90.00°
Space group P4/mmm (No. 123)
Asymmetric unit:
Mn (0.000, 0.000, 0.000) (multiplicity 1)
Cu (0.000, 0.500, 0.500) (multiplicity 2)
Tc (0.500, 0.500, 0.000) (multiplicity 1)
H (0.000, 0.000, 0.500) (multiplicity 1)

## Properties
Total DFT energy (no corrections): -29.46 eV per cell
M_tot: 1.98 μB per formula unit
Crystal system: tetragonal

(2)
MnCu2TeH: relaxed, PBE.

a = 4.867 Å, b = 4.867 Å, c = 3.355 Å
α = 90.00°, β = 90.00°, γ = 90.00°
Space group P4/mmm (No. 123)
Asymmetric unit:
Mn (0.000, 0.000, 0.000) (multiplicity 1)
Cu (0.000, 0.500, 0.000) (multiplicity 2)
Te (0.500, 0.500, 0.500) (multiplicity 1)
H (0.000, 0.000, 0.500) (multiplicity 1)

## Properties
Total DFT energy (no corrections): -21.00 eV per cell
M_tot: 3.81 μB per formula unit
Crystal system: tetragonal

(3)
Ti2MnCuH: relaxed, PBE.

a = 4.151 Å, b = 4.151 Å, c = 3.358 Å
α = 90.00°, β = 90.00°, γ = 90.00°
Space group P4/mmm (No. 123)
Asymmetric unit:
Ti (0.000, 0.500, 0.000) (multiplicity 2)
Mn (0.000, 0.000, 0.500) (multiplicity 1)
Cu (0.500, 0.500, 0.500) (multiplicity 1)
H (0.000, 0.000, 0.000) (multiplicity 1)

## Properties
Total DFT energy (no corrections): -33.25 eV per cell
M_tot: 0.03 μB per formula unit
Crystal system: tetragonal

(4)
Mn2VCuH: relaxed, PBE.

a = 3.851 Å, b = 3.851 Å, c = 3.471 Å
α = 90.00°, β = 90.00°, γ = 90.00°
Space group P4/mmm (No. 123)
Asymmetric unit:
Mn (0.000, 0.500, 0.000) (multiplicity 2)
V (0.000, 0.000, 0.500) (multiplicity 1)
Cu (0.500, 0.500, 0.500) (multiplicity 1)
H (0.500, 0.500, 0.000) (multiplicity 1)

## Properties
M_tot: 2.89 μB per formula unit
Crystal system: tetragonal
Energy relative to the lowest polymorph listed for this composition: 1.50 kJ/mol of atoms

(5)
MnV2CuH: relaxed, PBE.

a = 3.758 Å, b = 3.758 Å, c = 3.655 Å
α = 90.00°, β = 90.00°, γ = 90.00°
Space group P4/mmm (No. 123)
Asymmetric unit:
Mn (0.000, 0.000, 0.000) (multiplicity 1)
V (0.000, 0.500, 0.500) (multiplicity 2)
Cu (0.500, 0.500, 0.000) (multiplicity 1)
H (0.000, 0.000, 0.500) (multiplicity 1)

## Properties
Total DFT energy (no corrections): -34.79 eV per cell
M_tot: 0.30 μB per formula unit
Crystal system: tetragonal

(6)
Mn2VCuH: relaxed, PBE.

a = 3.716 Å, b = 3.716 Å, c = 3.700 Å
α = 90.00°, β = 90.00°, γ = 90.00°
Space group P4/mmm (No. 123)
Asymmetric unit:
Mn (0.000, 0.500, 0.000) (multiplicity 2)
V (0.000, 0.000, 0.500) (multiplicity 1)
Cu (0.500, 0.500, 0.500) (multiplicity 1)
H (0.000, 0.000, 0.000) (multiplicity 1)

## Properties
M_tot: 2.70 μB per formula unit
Crystal system: tetragonal
Energy relative to the lowest polymorph listed for this composition: 0.00 kJ/mol of atoms

(7)
MnCuH2W: relaxed, PBE.

a = 3.443 Å, b = 3.443 Å, c = 4.693 Å
α = 90.00°, β = 90.00°, γ = 90.00°
Space group P4/mmm (No. 123)
Asymmetric unit:
Mn (0.000, 0.000, 0.000) (multiplicity 1)
Cu (0.000, 0.000, 0.500) (multiplicity 1)
H (0.000, 0.500, 0.000) (multiplicity 2)
W (0.500, 0.500, 0.500) (multiplicity 1)

## Properties
Total DFT energy (no corrections): -28.09 eV per cell
M_tot: 1.66 μB per formula unit
Crystal system: tetragonal

(8)
Y2MnCuH: relaxed, PBE.

a = 4.881 Å, b = 4.881 Å, c = 3.647 Å
α = 90.00°, β = 90.00°, γ = 90.00°
Space group P4/mmm (No. 123)
Asymmetric unit:
Y (0.000, 0.500, 0.000) (multiplicity 2)
Mn (0.000, 0.000, 0.500) (multiplicity 1)
Cu (0.500, 0.500, 0.500) (multiplicity 1)
H (0.000, 0.000, 0.000) (multiplicity 1)

## Properties
Total DFT energy (no corrections): -30.08 eV per cell
M_tot: 2.50 μB per formula unit
Crystal system: tetragonal

(9)
Mn2ZnCuH: relaxed, PBE.

a = 3.790 Å, b = 3.790 Å, c = 3.752 Å
α = 90.00°, β = 90.00°, γ = 90.00°
Space group P4/mmm (No. 123)
Asymmetric unit:
Mn (0.000, 0.500, 0.000) (multiplicity 2)
Zn (0.000, 0.000, 0.500) (multiplicity 1)
Cu (0.500, 0.500, 0.500) (multiplicity 1)
H (0.500, 0.500, 0.000) (multiplicity 1)

## Properties
M_tot: 5.78 μB per formula unit
Crystal system: tetragonal
Energy relative to the lowest polymorph listed for this composition: 0.00 kJ/mol of atoms

(10)
Mn2ZnCuH: relaxed, PBE.

a = 3.705 Å, b = 3.705 Å, c = 3.931 Å
α = 90.00°, β = 90.00°, γ = 90.00°
Space group P4/mmm (No. 123)
Asymmetric unit:
Mn (0.000, 0.500, 0.000) (multiplicity 2)
Zn (0.000, 0.000, 0.500) (multiplicity 1)
Cu (0.500, 0.500, 0.500) (multiplicity 1)
H (0.000, 0.000, 0.000) (multiplicity 1)

## Properties
M_tot: 5.59 μB per formula unit
Crystal system: tetragonal
Energy relative to the lowest polymorph listed for this composition: 7.07 kJ/mol of atoms

(11)
MnZn2CuH: relaxed, PBE.

a = 4.067 Å, b = 4.067 Å, c = 3.438 Å
α = 90.00°, β = 90.00°, γ = 90.00°
Space group P4/mmm (No. 123)
Asymmetric unit:
Mn (0.000, 0.000, 0.000) (multiplicity 1)
Zn (0.000, 0.500, 0.500) (multiplicity 2)
Cu (0.500, 0.500, 0.000) (multiplicity 1)
H (0.000, 0.000, 0.500) (multiplicity 1)

## Properties
Total DFT energy (no corrections): -18.59 eV per cell
M_tot: 2.95 μB per formula unit
Crystal system: tetragonal

(12)
Zr2MnCuH: relaxed, PBE.

a = 4.549 Å, b = 4.549 Å, c = 3.392 Å
α = 90.00°, β = 90.00°, γ = 90.00°
Space group P4/mmm (No. 123)
Asymmetric unit:
Zr (0.000, 0.500, 0.000) (multiplicity 2)
Mn (0.000, 0.000, 0.500) (multiplicity 1)
Cu (0.500, 0.500, 0.500) (multiplicity 1)
H (0.000, 0.000, 0.000) (multiplicity 1)

## Properties
Total DFT energy (no corrections): -34.44 eV per cell
M_tot: 0.24 μB per formula unit
Crystal system: tetragonal